DFT (GGA+U) results for a geometry-optimized BaV2AgF structure.

extended XYZ file:
```
5
Lattice="5.078 0.000 0.000 0.000 5.078 0.000 0.000 0.000 5.810" Properties=species:S:1:pos:R:3 pbc="T T T"
Ba 0.000 0.000 0.000
V 0.000 2.539 2.905
V 2.539 0.000 2.905
Ag 2.539 2.539 2.905
F 2.539 2.539 0.000
```

Values from the calculation:
- D(E_F): 0.947 states/eV per atom
- Density: 4.06 g/cm³
- Magnetic moment: 7.8 μB per cell
- Energy: -3.77 eV per atom